The following is a PBE calculation of a relaxed structure of Pm5Nd3Ru2, from Alexandria.

Output
Crystal system: orthorhombic
Formation enthalpy at 0 K in eV per atom: 0.0216
Raw total energy in eV per atom: -5.639

Cell and atoms, written as POSCAR:
```
Pm5Nd3Ru2
1.0
-6.2411 7.1770 3.4863
6.2411 -7.1770 3.4863
6.2411 7.1770 -3.4863
Pm Nd Ru
10 6 4
direct
0.0206 0.2500 0.7706
0.0642 0.2146 0.2787
0.2500 0.2500 0.0000
0.4358 0.7146 0.1504
0.4794 0.2500 0.2294
0.5206 0.7500 0.7706
0.5642 0.2854 0.8496
0.7500 0.7500 0.0000
0.9358 0.7854 0.7213
0.9794 0.7500 0.2294
0.1798 0.7427 0.9226
0.2500 0.7500 0.5000
0.3202 0.2427 0.5629
0.6798 0.7573 0.4371
0.7500 0.2500 0.5000
0.8202 0.2573 0.0774
0.1575 0.3912 0.5487
0.3425 0.8912 0.2337
0.6575 0.1088 0.7663
0.8425 0.6088 0.4513
```